Record 1
A relaxed Hf3Ga4Sn crystal. Source: Alexandria via LeMat-Bulk, functional PBE.

Cell: 9.329 5.669 5.814 Å, 90.00 90.00 90.00°
Space group Pmn2_1 (No. 31)
Symmetry-distinct sites (fractional):
Hf 0.000 0.159 0.000 [2 per cell]
Hf 0.224 0.409 0.465 [4 per cell]
Ga 0.000 0.102 0.504 [2 per cell]
Ga 0.000 0.632 0.210 [2 per cell]
Ga 0.232 0.944 0.284 [4 per cell]
Sn 0.000 0.662 0.724 [2 per cell]

Values from the calculation:
The density of states at the Fermi level is 2.76 states/eV/f.u. Its formation energy is -32 kJ/mol of atoms. The total magnetization is 0.000 μB/cell.

---

Record 2
A relaxed HfGa2Sn2 crystal. Source: Alexandria via LeMat-Bulk, functional PBE.

Cell: 7.647 7.647 3.828 Å, 90.00 90.00 90.00°
Space group P4/mbm (No. 127)
Symmetry-distinct sites (fractional):
Hf 0.000 0.000 0.000 [2 per cell]
Ga 0.164 0.336 0.500 [4 per cell]
Sn 0.140 0.640 0.000 [4 per cell]

Values from the calculation:
The density of states at the Fermi level is 3.00 states/eV/f.u. Its formation energy is 13 kJ/mol of atoms. The total magnetization is 0.000 μB/cell.

---

Record 3
A relaxed Hf2GaSn crystal. Source: Alexandria via LeMat-Bulk, functional PBE.

Cell: 5.577 3.220 9.605 Å, 90.00 101.35 90.00°
Space group Cm (No. 8)
Symmetry-distinct sites (fractional):
Hf 0.000 0.000 0.000 [2 per cell]
Hf 0.158 0.000 0.469 [2 per cell]
Ga 0.412 0.000 0.234 [2 per cell]
Sn 0.079 0.500 0.735 [2 per cell]

Values from the calculation:
The density of states at the Fermi level is 3.43 states/eV/f.u. Its formation energy is -20 kJ/mol of atoms. The total magnetization is 0.000 μB/cell.

---

Record 4
A relaxed Hf7Ga5Sn crystal. Source: Alexandria via LeMat-Bulk, functional PBE.

Cell: 5.481 9.526 9.916 Å, 90.00 90.00 90.00°
Space group Imm2 (No. 44)
Symmetry-distinct sites (fractional):
Hf 0.000 0.000 0.000 [2 per cell]
Hf 0.000 0.000 0.289 [2 per cell]
Hf 0.000 0.327 0.114 [4 per cell]
Hf 0.000 0.342 0.625 [4 per cell]
Hf 0.000 0.500 0.358 [2 per cell]
Ga 0.000 0.500 0.876 [2 per cell]
Ga 0.249 0.248 0.873 [8 per cell]
Sn 0.000 0.000 0.663 [2 per cell]

Values from the calculation:
The density of states at the Fermi level is 9.50 states/eV/f.u. Its formation energy is -26 kJ/mol of atoms. The total magnetization is 0.000 μB/cell.